1.
This record from Alexandria via LeMat-Bulk describes a geometry-optimized Pa2Ag2Cl2O5 structure. The functional is PBE.

Lattice parameters (Å, degrees): 12.4275 12.4275 12.4275 160.27 160.27 28.04
Closest atoms and distances in Å follow each position.
Element x y z (fractional)
Pa (0.0880, 0.0880, 0.0000)  5 O 2.12-2.15
Pa (0.9120, 0.9120, 0.0000)  5 O 2.12-2.15
Ag (0.3192, 0.3192, 0.0000)  1 Cl 2.72, 4 O 2.89
Ag (0.6808, 0.6808, 0.0000)  1 Cl 2.72, 4 O 2.89
Cl (0.2066, 0.2066, 0.0000)  1 Ag 2.72, 1 Pa 2.86
Cl (0.7934, 0.7934, 0.0000)  1 Ag 2.72, 1 Pa 2.86
O (0.0000, 0.0000, 0.0000)  2 Pa 2.12
O (0.0998, 0.5998, 0.5000)  2 Pa 2.15
O (0.4002, 0.9002, 0.5000)  2 Pa 2.15
O (0.5998, 0.0998, 0.5000)  2 Pa 2.15
O (0.9002, 0.4002, 0.5000)  2 Pa 2.15

Calculated values
Space group: I4/mmm, No. 139
E_form (uncorrected) in meV per atom: -2324.5
N(E_F) in states/eV/cell: 0.00

---

2.
This record from Alexandria via LeMat-Bulk describes a geometry-optimized Ti2NbPt9 structure. The functional is PBE.

Lattice parameters (Å, degrees): 3.9681 3.9681 11.9071 90.00 90.00 90.00
Closest atoms and distances in Å follow each position.
Element x y z (fractional)
Ti (0.0000, 0.0000, 0.1631)  12 Pt 2.78-2.82
Ti (0.0000, 0.0000, 0.8369)  12 Pt 2.78-2.82
Nb (0.0000, 0.0000, 0.5000)  12 Pt 2.81-2.82
Pt (0.0000, 0.5000, 0.0000)  4 Ti 2.78, 8 Pt 2.80-2.81
Pt (0.0000, 0.5000, 0.3315)  8 Pt 2.80-2.82, 2 Ti 2.82, 2 Nb 2.82
Pt (0.0000, 0.5000, 0.6685)  8 Pt 2.80-2.82, 2 Ti 2.82, 2 Nb 2.82
Pt (0.5000, 0.0000, 0.0000)  4 Ti 2.78, 8 Pt 2.80-2.81
Pt (0.5000, 0.0000, 0.3315)  8 Pt 2.80-2.82, 2 Ti 2.82, 2 Nb 2.82
Pt (0.5000, 0.0000, 0.6685)  8 Pt 2.80-2.82, 2 Ti 2.82, 2 Nb 2.82
Pt (0.5000, 0.5000, 0.1659)  8 Pt 2.80, 4 Ti 2.81
Pt (0.5000, 0.5000, 0.5000)  4 Nb 2.81, 8 Pt 2.82
Pt (0.5000, 0.5000, 0.8341)  8 Pt 2.80, 4 Ti 2.81

Calculated values
Space group: P4/mmm, No. 123
E_form in eV per atom: -0.753
N(E_F) in states/eV/cell: 8.92

---

3.
This record from Alexandria via LeMat-Bulk describes a geometry-optimized AlInAg2Se4 structure. The functional is PBE.

Lattice parameters (Å, degrees): 7.2291 7.2291 7.2291 129.97 129.97 73.46
Closest atoms and distances in Å follow each position.
Element x y z (fractional)
Al (0.0000, 0.0000, 0.0000)  4 Se 2.43
In (0.7500, 0.2500, 0.5000)  4 Se 2.64
Ag (0.2500, 0.7500, 0.5000)  4 Se 2.67
Ag (0.5000, 0.5000, 0.0000)  4 Se 2.69
Se (0.1122, 0.1166, 0.4643)  1 Al 2.43, 1 In 2.64, 2 Ag 2.67-2.69
Se (0.3522, 0.8878, 0.0044)  1 Al 2.43, 1 In 2.64, 2 Ag 2.67-2.69
Se (0.6522, 0.6478, 0.5357)  1 Al 2.43, 1 In 2.64, 2 Ag 2.67-2.69
Se (0.8834, 0.3478, 0.9956)  1 Al 2.43, 1 In 2.64, 2 Ag 2.67-2.69

Calculated values
Space group: I-4, No. 82
E_form (uncorrected) in meV per atom: -519.7

---

4.
This record from Alexandria via LeMat-Bulk describes a geometry-optimized Ac6NiRu2Br3 structure. The functional is PBE.

Lattice parameters (Å, degrees): 7.4330 7.4330 8.6862 98.19 98.19 120.00
Closest atoms and distances in Å follow each position.
Element x y z (fractional)
Ac (0.0973, 0.4353, 0.8058)  2 Ru 2.94-2.95, 1 Ni 2.99
Ac (0.2265, 0.2265, 0.1942)  2 Ru 2.94, 1 Ni 2.99
Ac (0.4353, 0.0973, 0.8058)  2 Ru 2.94-2.95, 1 Ni 2.99
Ac (0.5647, 0.9027, 0.1942)  2 Ru 2.94-2.95, 1 Ni 2.99
Ac (0.7735, 0.7735, 0.8058)  2 Ru 2.94, 1 Ni 2.99
Ac (0.9027, 0.5647, 0.1942)  2 Ru 2.94-2.95, 1 Ni 2.99
Ni (0.5000, 0.5000, 0.0000)  6 Ac 2.99
Ru (0.1665, 0.8335, 0.0000)  6 Ac 2.94-2.95
Ru (0.8335, 0.1665, 0.0000)  6 Ac 2.94-2.95
Br (0.0000, 0.0000, 0.5000)  6 Ac 3.53-3.57
Br (0.3308, 0.6692, 0.5000)  6 Ac 3.51-3.59
Br (0.6692, 0.3308, 0.5000)  6 Ac 3.51-3.59

Calculated values
Space group: C2/m, No. 12
E_form (uncorrected) in meV per atom: -876.6
N(E_F) in states/eV/cell: 2.79